1.
{
  "formula": "NiPtRh6",
  "functional": "PBE-GGA",
  "state": "relaxed",
  "lattice": [[-3.805, -0.388, -0.171], [-1.971, -1.340, 4.045], [-2.668, 6.150, 2.567]],
  "species": ["Ni", "Pt", "Rh", "Rh", "Rh", "Rh", "Rh", "Rh"],
  "frac_coords": [[0.000, 0.500, 0.500], [0.000, 0.000, 0.000], [0.500, 0.746, 0.254], [0.246, 0.376, 0.132], [0.747, 0.125, 0.381], [0.253, 0.875, 0.619], [0.754, 0.624, 0.868], [0.500, 0.254, 0.746]],
  "total_energy_ev_per_cell": -55.83,
  "relative_energy_ev_per_atom": 0.000
}

---

2.
{
  "formula": "InAg2Ir",
  "functional": "PBE-GGA",
  "state": "relaxed",
  "lattice": [[-4.325, 1.961, 2.375], [-4.950, -0.957, 1.664], [0.514, -1.212, 4.520]],
  "species": ["Ag", "Ag", "In", "Ir"],
  "frac_coords": [[0.993, 0.993, 0.009], [0.507, 0.507, 0.491], [0.750, 0.750, 0.750], [0.250, 0.250, 0.250]],
  "total_energy_ev_per_cell": -16.85
}